[1]
This record from the Open Quantum Materials Database describes LiCu3GeS4 after structural relaxation. The functional is PBE.

Its energy is -74.9 eV per cell.

It has space group P2_1/m (No. 11), with a = 5.770 Å, b = 7.272 Å, c = 9.633 Å, α = 90.00°, β = 106.75° and γ = 90.00°. Symmetry generates all atoms from Li at (0.125, 0.250, 0.140), Cu at (0.302, 0.063, 0.529), Cu at (0.450, 0.250, 0.773), Ge at (0.103, 0.750, 0.280), S at (0.029, 0.750, 0.500), S at (0.207, 0.250, 0.913) and S at (0.346, 0.001, 0.290).

=====

[2]
This record from the Open Quantum Materials Database describes Er3C4 after structural relaxation. The functional is PBE.

Its energy is -530.2 eV per cell.

It has space group P4/mnc (No. 128), with a = 7.997 Å, b = 7.997 Å, c = 15.842 Å, α = 90.00°, β = 90.00° and γ = 90.00°. Symmetry generates all atoms from Er at (0.000, 0.000, 0.000), Er at (0.000, 0.000, 0.313), Er at (0.096, 0.298, 0.500), Er at (0.101, 0.712, 0.146), C at (0.000, 0.000, 0.157), C at (0.000, 0.000, 0.459), C at (0.098, 0.307, 0.328), C at (0.106, 0.696, 0.000) and C at (0.150, 0.350, 0.250).

=====

[3]
This record from the Open Quantum Materials Database describes BWCl3 after structural relaxation. The functional is PBE.

Its energy is -44.0 eV per cell.

It has space group P6_3/mmc (No. 194), with a = 7.8611 Å, b = 7.8611 Å, c = 5.8054 Å, α = 90.00°, β = 90.00° and γ = 120.00°. Symmetry generates all atoms from B at (0.3333, 0.6667, 0.2500), W at (0.0000, 0.0000, 0.0000) and Cl at (0.1462, 0.2925, 0.2500).

=====

[4]
This record from the Open Quantum Materials Database describes Ac3Sn3Pd2 after structural relaxation. The functional is PBE.

Its energy is -165.1 eV per cell.

It has space group Cmcm (No. 63), with a = 4.833 Å, b = 11.597 Å, c = 16.465 Å, α = 90.00°, β = 90.00° and γ = 90.00°. Symmetry generates all atoms from Ac at (0.000, 0.097, 0.107), Ac at (0.000, 0.374, 0.250), Sn at (0.000, 0.330, 0.750), Sn at (0.000, 0.381, 0.038) and Pd at (0.000, 0.193, 0.605).

=====

[5]
This record from the Open Quantum Materials Database describes DyTmInC after structural relaxation. The functional is PBE.

Its energy is -45.4 eV per cell.

It has space group P-6m2 (No. 187), with a = 3.5694 Å, b = 3.5694 Å, c = 16.2522 Å, α = 90.00°, β = 90.00° and γ = 120.00°. Symmetry generates all atoms from Dy at (0.0000, 0.0000, 0.1695), Tm at (0.3333, 0.6667, 0.3347), In at (0.0000, 0.0000, 0.5000), In at (0.3333, 0.6667, 0.0000) and C at (0.6667, 0.3333, 0.2525).

=====

[6]
This record from the Open Quantum Materials Database describes CdInPd2 after structural relaxation. The functional is PBE.

Its energy is -15.9 eV per cell.

It has space group P4/mmm (No. 123), with a = 4.615 Å, b = 4.615 Å, c = 3.330 Å, α = 90.00°, β = 90.00° and γ = 90.00°. Symmetry generates all atoms from Cd at (0.000, 0.000, 0.000), In at (0.500, 0.500, 0.000) and Pd at (0.000, 0.500, 0.500).

=====

[7]
This record from the Open Quantum Materials Database describes Gd3Mg3Zn2Au after structural relaxation. The functional is PBE.

Its energy is -28.0 eV per cell.

It has space group P-62m (No. 189), with a = 7.5279 Å, b = 7.5279 Å, c = 4.2610 Å, α = 90.00°, β = 90.00° and γ = 120.00°. Symmetry generates all atoms from Gd at (0.0000, 0.4141, 0.0000), Mg at (0.0000, 0.7560, 0.5000), Zn at (0.3333, 0.6667, 0.5000) and Au at (0.0000, 0.0000, 0.0000).

=====

[8]
This record from the Open Quantum Materials Database describes LiNiSnOs after structural relaxation. The functional is PBE.

Its energy is -87.6 eV per cell.

It has space group F-43m (No. 216), with a = 6.055 Å, b = 6.055 Å, c = 6.055 Å, α = 90.00°, β = 90.00° and γ = 90.00°. Symmetry generates all atoms from Li at (0.000, 0.000, 0.000), Ni at (0.000, 0.000, 0.500), Sn at (0.250, 0.250, 0.250) and Os at (0.250, 0.250, 0.750).

=====

[9]
This record from the Open Quantum Materials Database describes LuPu after structural relaxation. The functional is PBE.

Its formation enthalpy at 0 K is 1841 meV/atom.

It has space group F-43m (No. 216), with a = 6.812 Å, b = 6.812 Å, c = 6.812 Å, α = 90.00°, β = 90.00° and γ = 90.00°. Symmetry generates all atoms from Lu at (0.000, 0.000, 0.000) and Pu at (0.250, 0.250, 0.750).

=====

[10]
This record from the Open Quantum Materials Database describes ZnCd after structural relaxation. The functional is PBE.

Its formation enthalpy at 0 K is 71 meV/atom.

It has space group Pmmn (No. 59, origin choice 2), with a = 5.019 Å, b = 11.703 Å, c = 4.993 Å, α = 90.00°, β = 90.00° and γ = 90.00°. Symmetry generates all atoms from Zn at (0.250, 0.138, 0.172), Zn at (0.250, 0.250, 0.655), Zn at (0.250, 0.750, 0.661), Cd at (0.250, 0.004, 0.671) and Cd at (0.250, 0.627, 0.162).

=====

[11]
This record from the Open Quantum Materials Database describes PrCl4 after structural relaxation. The functional is PBE.

Its energy is -80.7 eV per cell.

It has space group C2/c (No. 15), with a = 11.311 Å, b = 6.334 Å, c = 7.901 Å, α = 90.00°, β = 92.95° and γ = 90.00°. Symmetry generates all atoms from Pr at (0.000, 0.156, 0.250), Cl at (0.108, 0.467, 0.682) and Cl at (0.149, 0.027, 0.991).

=====

[12]
This record from the Open Quantum Materials Database describes LiZnB2 after structural relaxation. The functional is PBE.

Its energy is -51.7 eV per cell.

It has space group F-43m (No. 216), with a = 5.301 Å, b = 5.301 Å, c = 5.301 Å, α = 90.00°, β = 90.00° and γ = 90.00°. Symmetry generates all atoms from Li at (0.000, 0.000, 0.000), Zn at (0.250, 0.250, 0.250), B at (0.000, 0.000, 0.500) and B at (0.250, 0.250, 0.750).

=====

[13]
This record from the Open Quantum Materials Database describes SmAl5Ag7 after structural relaxation. The functional is PBE.

Its energy is -92.2 eV per cell.

It has space group Imm2 (No. 44), with a = 5.399 Å, b = 9.327 Å, c = 9.214 Å, α = 90.00°, β = 90.00° and γ = 90.00°. Symmetry generates all atoms from Sm at (0.000, 0.000, 0.000), Al at (0.000, 0.500, 0.276), Al at (0.248, 0.254, 0.748), Ag at (0.000, 0.000, 0.347), Ag at (0.000, 0.000, 0.664), Ag at (0.000, 0.293, 0.493), Ag at (0.000, 0.345, 0.005) and Ag at (0.000, 0.500, 0.722).

=====

[14]
This record from the Open Quantum Materials Database describes La3AgGeS7 after structural relaxation. The functional is PBE.

Its energy is -138.8 eV per cell.

It has space group P6_3 (No. 173), with a = 10.4719 Å, b = 10.4719 Å, c = 5.8874 Å, α = 90.00°, β = 90.00° and γ = 120.00°. Symmetry generates all atoms from La at (0.1244, 0.3589, 0.0000), Ag at (0.0000, 0.0000, 0.4434), Ge at (0.3333, 0.6667, 0.5828), S at (0.0921, 0.2666, 0.4842), S at (0.1094, 0.5881, 0.7364) and S at (0.3333, 0.6667, 0.2082).

=====

[15]
This record from the Open Quantum Materials Database describes LuF2 after structural relaxation. The functional is PBE.

Its energy is -35.7 eV per cell.

It has space group P4_2/mnm (No. 136), with a = 4.844 Å, b = 4.844 Å, c = 3.815 Å, α = 90.00°, β = 90.00° and γ = 90.00°. Symmetry generates all atoms from Lu at (0.000, 0.000, 0.000) and F at (0.183, 0.183, 0.500).

=====

[16]
This record from the Open Quantum Materials Database describes PtC2 after structural relaxation. The functional is PBE.

Its energy is -144.9 eV per cell.

It has space group Fd-3m (No. 227, origin choice 2), with a = 8.740 Å, b = 8.740 Å, c = 8.740 Å, α = 90.00°, β = 90.00° and γ = 90.00°. Symmetry generates all atoms from Pt at (0.125, 0.125, 0.125) and C at (0.000, 0.000, 0.000).

=====

[17]
This record from the Open Quantum Materials Database describes PrYSn after structural relaxation. The functional is PBE.

Its energy is -66.2 eV per cell.

It has space group F-43m (No. 216), with a = 7.418 Å, b = 7.418 Å, c = 7.418 Å, α = 90.00°, β = 90.00° and γ = 90.00°. Symmetry generates all atoms from Pr at (0.000, 0.000, 0.000), Y at (0.000, 0.000, 0.500) and Sn at (0.250, 0.250, 0.250).

=====

[18]
This record from the Open Quantum Materials Database describes K2NaIrF6 after structural relaxation. The functional is PBE.

Its energy is -183.9 eV per cell.

It has space group Fm-3m (No. 225), with a = 8.160 Å, b = 8.160 Å, c = 8.160 Å, α = 90.00°, β = 90.00° and γ = 90.00°. Symmetry generates all atoms from K at (0.250, 0.250, 0.250), Na at (0.000, 0.000, 0.000), Ir at (0.000, 0.000, 0.500) and F at (0.000, 0.000, 0.255).

=====

[19]
This record from the Open Quantum Materials Database describes YTaNb after structural relaxation. The functional is PBE.

Its formation enthalpy at 0 K is 921 meV/atom.

It has space group F-43m (No. 216), with a = 6.627 Å, b = 6.627 Å, c = 6.627 Å, α = 90.00°, β = 90.00° and γ = 90.00°. Symmetry generates all atoms from Y at (0.000, 0.000, 0.000), Ta at (0.000, 0.000, 0.500) and Nb at (0.250, 0.250, 0.750).